1.
4
Lattice="0.000 3.364 3.364 3.364 0.000 3.364 3.364 3.364 0.000" Properties=species:S:1:pos:R:3 comment="NaMgTeIr, relaxed, DFT PBE" de_polymorph_ev_per_fu=0.95 spacegroup="No. 216" pbc="T T T"
Te 1.682 1.682 1.682
Na 5.047 5.047 5.047
Mg 0.000 0.000 0.000
Ir 3.364 3.364 3.364

=====

2.
3
Lattice="3.381 0.000 0.000 -1.691 2.928 0.000 0.000 0.000 4.189" Properties=species:S:1:pos:R:3 comment="ZrN2, relaxed, DFT PBE" e_tot_ev_per_cell=-24.82 spacegroup="No. 164" pbc="T T T"
Zr 0.000 0.000 0.000
N 1.691 0.976 3.209
N 0.000 1.952 0.980

=====

3.
8
Lattice="-2.223 1.355 3.558 -0.920 -4.190 1.021 5.225 -0.321 3.387" Properties=species:S:1:pos:R:3 comment="Li2Mg2ZnGaPt2, relaxed, DFT PBE" e_tot_ev_per_cell=-28.52 spacegroup="No. 115" pbc="T T T"
Mg 2.613 -0.161 1.694
Mg -1.571 -1.417 2.290
Pt 0.812 -2.173 1.335
Pt 2.842 0.435 4.342
Li 3.448 -2.335 3.044
Li 0.206 0.597 2.633
Ga 0.000 0.000 0.000
Zn 1.041 -1.578 3.983

=====

4.
8
Lattice="-0.250 2.009 5.999 -2.533 -2.177 5.378 6.861 -3.979 1.601" Properties=species:S:1:pos:R:3 comment="Ba2CdIn3Au2, relaxed, DFT PBE" e_tot_ev_per_cell=-23.44 spacegroup="No. 8" pbc="T T T"
Au 1.113 -1.036 2.894
Au 2.954 -3.103 10.069
Cd 5.480 -3.807 5.525
In 1.241 -1.873 8.073
In -1.414 -0.337 7.482
In 2.840 -2.273 4.884
Ba 4.996 -3.014 1.952
Ba -0.898 -1.145 11.034

=====

5.
4
Lattice="0.000 3.081 3.081 3.081 0.000 3.081 3.081 3.081 0.000" Properties=species:S:1:pos:R:3 comment="ZrTcNi2, relaxed, DFT PBE" spacegroup="No. 216" ef_ev_per_fu=0.0 pbc="T T T"
Ni 3.081 3.081 3.081
Ni 1.541 1.541 1.541
Zr 4.622 4.622 4.622
Tc 0.000 0.000 0.000

=====

6.
10
Lattice="-1.387 -3.023 4.811 -4.156 2.787 -3.028 2.561 -4.778 -2.195" Properties=species:S:1:pos:R:3 comment="DyUN3, relaxed, DFT PBE" e_tot_ev_per_cell=-95.94 spacegroup="No. 74" pbc="T T T"
U -0.798 -0.996 -2.611
U -2.771 -0.118 0.892
Dy -3.114 -3.057 -1.118
Dy 0.131 -1.957 0.706
N -0.487 -2.881 2.864
N 1.661 -4.920 -0.249
N -1.697 -1.137 -0.665
N -3.192 -2.099 1.775
N -1.285 -3.877 0.253
N 0.210 -2.915 -2.187

=====

7.
4
Lattice="0.000 2.923 2.923 2.923 0.000 2.923 2.923 2.923 0.000" Properties=species:S:1:pos:R:3 comment="HfZnFeB, relaxed, DFT PBE" de_polymorph_ev_per_fu=0.00 spacegroup="No. 216" pbc="T T T"
Hf 1.461 1.461 1.461
B 0.000 0.000 0.000
Fe 4.384 4.384 4.384
Zn 2.923 2.923 2.923

=====

8.
9
Lattice="6.383 -3.689 0.000 6.383 3.689 0.000 -4.257 0.000 6.024" Properties=species:S:1:pos:R:3 comment="Cs2PtCl6, relaxed, DFT PBE" e_tot_ev_per_cell=-30.17 spacegroup="No. 12" pbc="T T T"
Cl 5.246 2.026 1.673
Cl 8.745 0.000 1.612
Cl 3.263 -2.026 4.351
Cl 3.263 2.026 4.351
Cl 5.246 -2.026 1.673
Cl -0.236 0.000 4.412
Pt -2.128 0.000 3.012
Cs 6.375 0.000 4.517
Cs 2.134 0.000 1.508

=====

Number 1: volume 76.2 Å³/cell. Number 2: volume 41.5 Å³/cell. Number 3: volume 121.2 Å³/cell. Number 4: volume 227.9 Å³/cell. Number 5: volume 58.5 Å³/cell. Number 6: volume 140.8 Å³/cell. Number 7: volume 49.9 Å³/cell. Number 8: volume 283.7 Å³/cell.